(1)
# Nd2Ho8Zr | the Alexandria database | PBE | relaxed
# Energy of formation from the pure elements ... 43 meV/atom
data_Nd2Ho8Zr
_chemical_formula_sum 'Nd4 Ho16 Zr2'
_space_group_name_H-M_alt 'C 1 2/m 1'
_space_group_IT_number 12
_cell_length_a 17.950
_cell_length_b 4.960
_cell_length_c 7.874
_cell_angle_alpha 90.00
_cell_angle_beta 105.10
_cell_angle_gamma 90.00
loop_
_space_group_symop_operation_xyz
'x,y,z'
'-x,-y,-z'
'-x,y,-z'
'x,-y,z'
'x+1/2,y+1/2,z'
'-x+1/2,-y+1/2,-z'
'-x+1/2,y+1/2,-z'
'x+1/2,-y+1/2,z'
loop_
_atom_site_label
_atom_site_fract_x
_atom_site_fract_y
_atom_site_fract_z
Nd1 0.226 0.000 0.135
Ho1 0.043 0.000 0.237
Ho2 0.088 0.500 0.942
Ho3 0.130 0.000 0.671
Ho4 0.178 0.500 0.409
Zr1 0.000 0.500 0.500

***

(2)
# HoTiMnGe2 | the Alexandria database | PBE | relaxed
# Energy of formation from the pure elements ... -588 meV/atom
data_HoTiMnGe2
_chemical_formula_sum 'Ho2 Ti2 Mn2 Ge4'
_space_group_name_H-M_alt 'I -4 m 2'
_space_group_IT_number 119
_space_group_name_Hall 'I -4 -2'
_cell_length_a 3.963
_cell_length_b 3.963
_cell_length_c 11.352
_cell_angle_alpha 90.00
_cell_angle_beta 90.00
_cell_angle_gamma 90.00
loop_
_atom_site_label
_atom_site_fract_x
_atom_site_fract_y
_atom_site_fract_z
Ho1 0.000 0.000 0.000
Ti1 0.000 0.500 0.750
Mn1 0.000 0.500 0.250
Ge1 0.000 0.000 0.389

***

(3)
# HfMgS2Cl | the Alexandria database | PBE | relaxed
# ΔE to the lowest computed polymorph ... 580 meV/atom
# Uncorrected formation energy ... -1.8 eV/f.u.
data_HfMgS2Cl
_chemical_formula_sum 'Hf1 Mg1 S2 Cl1'
_space_group_name_H-M_alt 'P 4/m m m'
_space_group_IT_number 123
_space_group_name_Hall '-P 4 2'
_cell_length_a 4.807
_cell_length_b 4.807
_cell_length_c 4.434
_cell_angle_alpha 90.00
_cell_angle_beta 90.00
_cell_angle_gamma 90.00
loop_
_atom_site_label
_atom_site_fract_x
_atom_site_fract_y
_atom_site_fract_z
Hf1 0.000 0.000 0.000
Mg1 0.500 0.500 0.500
S1 0.000 0.500 0.500
Cl1 0.500 0.500 0.000

***

(4)
# TcTe2Pt | the Alexandria database | PBE | relaxed
# ΔE to the lowest computed polymorph ... 478 meV/atom
# Uncorrected formation energy ... 1.4 eV/f.u.
data_TcTe2Pt
_chemical_formula_sum 'Tc1 Te2 Pt1'
_space_group_name_H-M_alt 'P 4/m m m'
_space_group_IT_number 123
_space_group_name_Hall '-P 4 2'
_cell_length_a 4.764
_cell_length_b 4.764
_cell_length_c 3.437
_cell_angle_alpha 90.00
_cell_angle_beta 90.00
_cell_angle_gamma 90.00
loop_
_atom_site_label
_atom_site_fract_x
_atom_site_fract_y
_atom_site_fract_z
Tc1 0.000 0.000 0.000
Te1 0.000 0.500 0.500
Pt1 0.500 0.500 0.000

***

One value per record, in order, for calculated volume: 676.8, 178.3, 102.4, 78.0 Å³ per cell.